First-principles (GGA-PBE) data for a relaxed CuNi2Mo2 crystal, as listed in Alexandria.

```
CuNi2Mo2
1.0
-1.7075 6.0109 2.0879
-5.5892 3.1956 1.3979
3.7896 -5.3608 0.5535
Cu Ni Mo
1 2 2
direct
0.0000 0.0000 0.0000
0.2500 0.7500 0.5000
0.7500 0.2500 0.5000
0.5966 0.5966 0.0000
0.4034 0.4034 0.0000
```

Summary:
Symmetry: I4/mmm, No. 139
Total energy, eV per cell: -34.56
Spin magnetization, μB per formula unit: 0.00
DFT formation energy, eV/atom: 0.553